{
  "formula": "K2HgOs",
  "functional": "PBE",
  "state": "relaxed",
  "lattice_angstrom": [[5.309, 0.000, 0.000], [2.654, 4.597, 0.000], [2.654, 1.532, 4.335]],
  "species": ["Hg", "K", "K", "Os"],
  "fractional_positions": [[0.500, 0.500, 0.500], [0.000, 0.000, 0.000], [0.250, 0.250, 0.250], [0.750, 0.750, 0.750]],
  "delta_e_f_ev_per_fu": 4.37,
  "energy_ev_per_fu": -9.361,
  "density_g_cm3": 7.4
}

{
  "formula": "KHgOs",
  "functional": "PBE",
  "state": "relaxed",
  "lattice_angstrom": [[-0.726, -2.536, 1.234], [0.867, 0.072, -2.779], [7.949, -1.082, 2.453]],
  "species": ["Hg", "K", "Os"],
  "fractional_positions": [[0.000, 0.000, 0.977], [0.667, 0.333, 0.345], [0.333, 0.667, 0.677]],
  "e_above_lowest_polymorph_mev_per_atom": 102,
  "delta_e_f_ev_per_fu": 3.04,
  "energy_ev_per_fu": -9.587,
  "density_g_cm3": 11.6
}

{
  "formula": "KHgOs",
  "functional": "PBE",
  "state": "relaxed",
  "lattice_angstrom": [[-3.430, 5.426, 1.281], [-3.028, 2.292, 5.332], [5.388, -2.662, -2.594]],
  "species": ["Hg", "K", "Os"],
  "fractional_positions": [[0.053, 0.053, 0.000], [0.333, 0.333, 0.000], [0.615, 0.615, 0.000]],
  "e_above_lowest_polymorph_mev_per_atom": 176,
  "delta_e_f_ev_per_fu": 3.26,
  "energy_ev_per_fu": -9.364,
  "density_g_cm3": 9.0
}

{
  "formula": "K2HgOs",
  "functional": "PBE",
  "state": "relaxed",
  "lattice_angstrom": [[4.997, 0.000, 0.000], [0.000, 3.260, 0.000], [0.000, 0.000, 5.689]],
  "species": ["Hg", "K", "K", "Os"],
  "fractional_positions": [[0.000, 0.500, 0.500], [0.000, 0.000, 0.000], [0.500, 0.500, 0.000], [0.500, 0.000, 0.500]],
  "delta_e_f_ev_per_fu": 4.26,
  "energy_ev_per_fu": -9.466,
  "density_g_cm3": 8.4
}

{
  "formula": "KHgOs",
  "functional": "PBE",
  "state": "relaxed",
  "lattice_angstrom": [[-2.458, -5.360, 2.823], [2.835, -5.647, 1.677], [-0.912, 6.471, 0.178]],
  "species": ["Hg", "K", "Os"],
  "fractional_positions": [[0.940, 0.940, 0.000], [0.667, 0.667, 0.000], [0.394, 0.394, 0.000]],
  "e_above_lowest_polymorph_mev_per_atom": 0,
  "delta_e_f_ev_per_fu": 2.74,
  "energy_ev_per_fu": -9.893,
  "density_g_cm3": 9.2
}

{
  "formula": "K2HgOs",
  "functional": "PBE",
  "state": "relaxed",
  "lattice_angstrom": [[-6.420, 1.321, 3.346], [-1.206, -0.363, 7.251], [2.788, 2.561, -6.311]],
  "species": ["Hg", "K", "K", "Os"],
  "fractional_positions": [[0.289, 0.789, 0.500], [0.024, 0.024, 0.000], [0.713, 0.213, 0.500], [0.474, 0.474, 0.000]],
  "delta_e_f_ev_per_fu": 3.52,
  "energy_ev_per_fu": -10.211,
  "density_g_cm3": 6.8
}

{
  "formula": "K4HgOs",
  "functional": "PBE",
  "state": "relaxed",
  "lattice_angstrom": [[0.051, 1.554, 6.742], [0.528, 6.594, 2.026], [-5.436, 3.187, 2.856]],
  "species": ["K", "K", "K", "K", "Hg", "Os"],
  "fractional_positions": [[0.871, 0.376, 0.376], [0.376, 0.376, 0.871], [0.376, 0.871, 0.376], [0.376, 0.376, 0.376], [0.000, 0.000, 0.000], [0.750, 0.750, 0.750]],
  "delta_e_f_ev_per_fu": 6.78,
  "energy_ev_per_fu": -9.144,
  "density_g_cm3": 3.9
}

{
  "formula": "KHg3Os",
  "functional": "PBE",
  "state": "relaxed",
  "lattice_angstrom": [[5.315, 0.000, 0.000], [0.000, 5.315, 0.000], [0.000, 0.000, 5.315]],
  "species": ["K", "Os", "Hg", "Hg", "Hg"],
  "fractional_positions": [[0.500, 0.500, 0.500], [0.000, 0.000, 0.000], [0.000, 0.500, 0.000], [0.000, 0.000, 0.500], [0.500, 0.000, 0.000]],
  "e_above_lowest_polymorph_mev_per_atom": 0,
  "delta_e_f_ev_per_fu": 1.50,
  "energy_ev_per_fu": -11.736,
  "density_g_cm3": 9.2
}

> Number 3 is which compound?

KHgOs

What did the fourth record say?
{
  "formula": "K2HgOs",
  "functional": "PBE",
  "state": "relaxed",
  "lattice_angstrom": [[4.997, 0.000, 0.000], [0.000, 3.260, 0.000], [0.000, 0.000, 5.689]],
  "species": ["Hg", "K", "K", "Os"],
  "fractional_positions": [[0.000, 0.500, 0.500], [0.000, 0.000, 0.000], [0.500, 0.500, 0.000], [0.500, 0.000, 0.500]],
  "delta_e_f_ev_per_fu": 4.26,
  "energy_ev_per_fu": -9.466,
  "density_g_cm3": 8.4
}